[1]
VASP calculation (PBE) on a relaxed CsTlFeCl6 crystal.

Cell and atoms, written as POSCAR:
```
CsTlFeCl6
1.0
6.826 0.000 0.000
-3.413 5.912 0.000
0.000 0.000 7.689
Cs Tl Fe Cl
1 1 1 6
Direct
0.000 0.000 0.000 Cs
0.667 0.333 0.500 Tl
0.333 0.667 0.500 Fe
0.033 0.389 0.686 Cl
0.033 0.644 0.314 Cl
0.356 0.389 0.314 Cl
0.356 0.967 0.686 Cl
0.611 0.644 0.686 Cl
0.611 0.967 0.314 Cl
```

## Properties
uncorrected energy	-32.092	eV/cell
volume	34.5	Å³/atom
D(E_F)	1.16	states/eV/f.u.
total moment	4.0	μB per cell


[2]
VASP calculation (PBE) on a relaxed CaTcAsO6 crystal.

Cell and atoms, written as POSCAR:
```
CaTcAsO6
1.0
5.115 0.000 0.000
-2.557 4.430 0.000
0.000 0.000 10.109
Ca Tc As O
2 2 2 12
Direct
0.000 0.000 0.000 Ca
0.000 0.000 0.500 Ca
0.333 0.667 0.250 Tc
0.667 0.333 0.750 Tc
0.333 0.667 0.750 As
0.667 0.333 0.250 As
0.015 0.380 0.646 O
0.015 0.634 0.854 O
0.366 0.380 0.854 O
0.366 0.985 0.646 O
0.380 0.015 0.146 O
0.380 0.366 0.354 O
0.620 0.634 0.646 O
0.620 0.985 0.854 O
0.634 0.015 0.354 O
0.634 0.620 0.146 O
0.985 0.366 0.146 O
0.985 0.620 0.354 O
```

## Properties
uncorrected energy	-124.739	eV/cell
volume	12.7	Å³/atom
D(E_F)	4.93	states/eV/f.u.
total moment	3.9	μB per cell


[3]
VASP calculation (PBE) on a relaxed La4IrSeI2 crystal.

Cell and atoms, written as POSCAR:
```
La4IrSeI2
1.0
7.805 0.000 0.000
0.000 4.225 0.000
-2.429 0.000 7.904
La Ir Se I
4 1 1 2
Direct
0.207 0.000 0.191 La
0.258 0.500 0.797 La
0.742 0.500 0.203 La
0.793 0.000 0.809 La
0.000 0.500 0.000 Ir
0.500 0.000 0.000 Se
0.000 0.000 0.500 I
0.500 0.500 0.500 I
```

## Properties
uncorrected energy	-45.425	eV/cell
volume	32.6	Å³/atom
D(E_F)	5.98	states/eV/f.u.
total moment	0.0	μB per cell


[4]
VASP calculation (PBE) on a relaxed CoNiAs3 crystal.

Cell and atoms, written as POSCAR:
```
CoNiAs3
1.0
4.557 0.000 0.000
0.000 4.557 0.000
0.000 0.000 4.557
Co Ni As
1 1 3
Direct
0.000 0.000 0.000 Co
0.500 0.500 0.500 Ni
0.000 0.500 0.500 As
0.500 0.000 0.500 As
0.500 0.500 0.000 As
```

## Properties
uncorrected energy	-22.947	eV/cell
volume	18.9	Å³/atom
D(E_F)	7.40	states/eV/f.u.
total moment	1.4	μB per cell


[5]
VASP calculation (PBE) on a relaxed Ba2H2ICl crystal.

Cell and atoms, written as POSCAR:
```
Ba2H2ICl
1.0
4.519 0.000 0.000
-2.260 3.914 0.000
0.000 0.000 9.217
Ba H I Cl
2 2 1 1
Direct
0.333 0.667 0.222 Ba
0.667 0.333 0.778 Ba
0.333 0.667 0.781 H
0.667 0.333 0.219 H
0.000 0.000 0.500 I
0.000 0.000 0.000 Cl
```

## Properties
uncorrected energy	-22.060	eV/cell
volume	27.2	Å³/atom
D(E_F)	0.00	states/eV/f.u.
total moment	0.0	μB per cell


[6]
VASP calculation (PBE) on a relaxed KInFeCl2 crystal.

Cell and atoms, written as POSCAR:
```
KInFeCl2
1.0
4.833 0.000 0.000
0.000 4.833 0.000
0.000 0.000 6.618
K In Fe Cl
1 1 1 2
Direct
0.000 0.000 0.000 K
0.500 0.500 0.000 In
0.000 0.000 0.500 Fe
0.000 0.500 0.500 Cl
0.500 0.000 0.500 Cl
```

## Properties
uncorrected energy	-16.620	eV/cell
volume	30.9	Å³/atom
D(E_F)	6.10	states/eV/f.u.
total moment	3.3	μB per cell


[7]
VASP calculation (PBE) on a relaxed CsRbTa2Os crystal.

Cell and atoms, written as POSCAR:
```
CsRbTa2Os
1.0
5.175 0.000 0.000
0.000 5.175 0.000
0.000 0.000 5.704
Cs Rb Ta Os
1 1 2 1
Direct
0.000 0.000 0.000 Cs
0.000 0.000 0.500 Rb
0.000 0.500 0.000 Ta
0.500 0.000 0.000 Ta
0.500 0.500 0.500 Os
```

## Properties
uncorrected energy	-18.379	eV/cell
volume	30.5	Å³/atom
D(E_F)	6.56	states/eV/f.u.
total moment	0.9	μB per cell


[8]
VASP calculation (PBE) on a relaxed AlSeCl2 crystal.

Cell and atoms, written as POSCAR:
```
AlSeCl2
1.0
0.000 3.382 3.382
3.382 0.000 3.382
3.382 3.382 0.000
Al Se Cl
1 1 2
Direct
0.000 0.000 0.000 Al
0.750 0.750 0.750 Se
0.250 0.250 0.250 Cl
0.500 0.500 0.500 Cl
```

## Properties
volume	19.3	Å³/atom
D(E_F)	5.56	states/eV/f.u.
relative energy among the computed polymorphs	968	meV/atom
total moment	0.5	μB per cell


Question: Which of these has the highest total moment?
Answer: CsTlFeCl6


Question: Number 8 is which compound?
Answer: AlSeCl2